## AcHPb (PBE)

Data for AcHPb after structural relaxation.

- Total magnetic moment: 0.00 μB/f.u.
- Relative energy among the computed polymorphs: 113 meV per atom
- SG: No. 187

Structure (POSCAR):
```
AcHPb
1.0
-3.776 -3.287 2.348
-1.300 -1.156 -3.710
2.985 -2.094 1.869
Ac H Pb
1 1 1
Direct
0.167 0.667 0.333 Ac
0.167 0.000 0.000 H
0.667 0.333 0.667 Pb
```